Entry 1:
Pr3RhBr | PBE | relaxed

abc: 3.9322 9.9012 8.1402
angles: 90.00 90.00 90.00
Fractional positions:
Pr (0.2500, 0.0712, 0.1670)
Pr (0.2500, 0.2500, 0.7421)
Pr (0.2500, 0.4288, 0.1670)
Pr (0.7500, 0.5712, 0.8330)
Pr (0.7500, 0.7500, 0.2579)
Pr (0.7500, 0.9288, 0.8330)
Rh (0.2500, 0.7500, 0.0184)
Rh (0.7500, 0.2500, 0.9816)
Br (0.2500, 0.7500, 0.5740)
Br (0.7500, 0.2500, 0.4260)

- total moment (Bohr magnetons per cell) = 0.00
- theoretical density (Mg/m³) = 6.35
- formation energy from raw total energies (eV/atom) = -0.689
- energy (eV/cell) = -53.61
- DOS at the Fermi energy (states/eV per cell) = 10.2
- crystal system = orthorhombic



Entry 2:
PrRhBr | PBE | relaxed

abc: 11.5617 11.5617 8.0313
angles: 95.33 95.33 19.97
Fractional positions:
Pr (0.1556, 0.1556, 0.0956)
Pr (0.1638, 0.1638, 0.6097)
Pr (0.8362, 0.8362, 0.3903)
Pr (0.8444, 0.8444, 0.9044)
Rh (0.2480, 0.2480, 0.3712)
Rh (0.2570, 0.2570, 0.8833)
Rh (0.7430, 0.7430, 0.1167)
Rh (0.7520, 0.7520, 0.6288)
Br (0.0659, 0.0659, 0.3357)
Br (0.4071, 0.4071, 0.1700)
Br (0.5929, 0.5929, 0.8300)
Br (0.9341, 0.9341, 0.6643)

- total moment (Bohr magnetons per cell) = 0.00
- theoretical density (Mg/m³) = 5.89
- formation energy from raw total energies (eV/atom) = -0.982
- energy (eV/cell) = -67.00
- DOS at the Fermi energy (states/eV per cell) = 4.3
- crystal system = monoclinic



Entry 3:
Pr8Ru3RhBr4 | PBE | relaxed

abc: 9.2400 9.2400 9.2400
angles: 53.07 53.07 53.07
Fractional positions:
Pr (0.2275, 0.7347, 0.7347)
Pr (0.2329, 0.2329, 0.2329)
Pr (0.2653, 0.2653, 0.7725)
Pr (0.2653, 0.7725, 0.2653)
Pr (0.7347, 0.2275, 0.7347)
Pr (0.7347, 0.7347, 0.2275)
Pr (0.7671, 0.7671, 0.7671)
Pr (0.7725, 0.2653, 0.2653)
Ru (0.0000, 0.0000, 0.5000)
Ru (0.0000, 0.5000, 0.0000)
Ru (0.5000, 0.0000, 0.0000)
Rh (0.5000, 0.5000, 0.5000)
Br (0.0000, 0.0000, 0.0000)
Br (0.0000, 0.5000, 0.5000)
Br (0.5000, 0.0000, 0.5000)
Br (0.5000, 0.5000, 0.0000)

- total moment (Bohr magnetons per cell) = 0.00
- theoretical density (Mg/m³) = 6.58
- formation energy from raw total energies (eV/atom) = -0.834
- energy (eV/cell) = -93.45
- DOS at the Fermi energy (states/eV per cell) = 9.5
- crystal system = trigonal